Record 1
Material: HfIN2Cl
Method: DFT, PBE
State: relaxed

```
data_HfIN2Cl
_cell_length_a 4.140
_cell_length_b 4.140
_cell_length_c 6.315
_cell_angle_alpha 90.00
_cell_angle_beta 90.00
_cell_angle_gamma 90.00
_symmetry_space_group_name_H-M 'P 1'
_symmetry_Int_Tables_number 1
_symmetry_space_group_name_Hall 'P 1'
loop_
_atom_site_label
_atom_site_type_symbol
_atom_site_fract_x
_atom_site_fract_y
_atom_site_fract_z
I1 I 0.000 0.000 0.500
N1 N 0.000 0.500 0.000
N2 N 0.500 0.000 0.000
Hf1 Hf 0.000 0.000 0.000
Cl1 Cl 0.500 0.500 0.500
```

Values from the calculation:
Raw formation energy, kJ per mole of atoms: 40.4
Excess energy over the best structure of this formula in the dataset, meV per atom: 0
Uncorrected energy, eV/atom: -5.581
Size of the total moment, μB/atom: 0.00
Density, g/cm3: 5.66

Record 2
Material: HfINCl2
Method: DFT, PBE
State: relaxed

```
data_HfINCl2
_cell_length_a 5.973
_cell_length_b 3.880
_cell_length_c 5.973
_cell_angle_alpha 90.00
_cell_angle_beta 90.00
_cell_angle_gamma 90.00
_symmetry_space_group_name_H-M 'P 1'
_symmetry_Int_Tables_number 1
_symmetry_space_group_name_Hall 'P 1'
loop_
_atom_site_label
_atom_site_type_symbol
_atom_site_fract_x
_atom_site_fract_y
_atom_site_fract_z
I1 I 0.000 0.000 0.000
N1 N 0.000 0.500 0.000
Hf1 Hf 0.500 0.500 0.500
Cl1 Cl 0.000 0.000 0.500
Cl2 Cl 0.500 0.000 0.000
```

Values from the calculation:
Raw formation energy, kJ per mole of atoms: 119.0
Uncorrected energy, eV/atom: -3.471
Size of the total moment, μB/atom: 0.34
Density, g/cm3: 4.68

Record 3
Material: HfIN2Cl
Method: DFT, PBE
State: relaxed

```
data_HfIN2Cl
_cell_length_a 4.088
_cell_length_b 4.088
_cell_length_c 5.152
_cell_angle_alpha 90.00
_cell_angle_beta 90.00
_cell_angle_gamma 90.00
_symmetry_space_group_name_H-M 'P 1'
_symmetry_Int_Tables_number 1
_symmetry_space_group_name_Hall 'P 1'
loop_
_atom_site_label
_atom_site_type_symbol
_atom_site_fract_x
_atom_site_fract_y
_atom_site_fract_z
I1 I 0.000 0.000 0.500
N1 N 0.000 0.500 0.000
N2 N 0.500 0.000 0.000
Hf1 Hf 0.500 0.500 0.500
Cl1 Cl 0.000 0.000 0.000
```

Values from the calculation:
Raw formation energy, kJ per mole of atoms: 199.7
Excess energy over the best structure of this formula in the dataset, meV per atom: 1650
Uncorrected energy, eV/atom: -3.931
Size of the total moment, μB/atom: 0.00
Density, g/cm3: 7.12

Record 4
Material: HfP2ICl
Method: DFT, PBE
State: relaxed

```
data_HfP2ICl
_cell_length_a 5.129
_cell_length_b 5.129
_cell_length_c 4.896
_cell_angle_alpha 90.00
_cell_angle_beta 90.00
_cell_angle_gamma 90.00
_symmetry_space_group_name_H-M 'P 1'
_symmetry_Int_Tables_number 1
_symmetry_space_group_name_Hall 'P 1'
loop_
_atom_site_label
_atom_site_type_symbol
_atom_site_fract_x
_atom_site_fract_y
_atom_site_fract_z
I1 I 0.500 0.500 0.500
P1 P 0.000 0.500 0.000
P2 P 0.500 0.000 0.000
Hf1 Hf 0.000 0.000 0.000
Cl1 Cl 0.000 0.000 0.500
```

Values from the calculation:
Raw formation energy, kJ per mole of atoms: -7.0
Excess energy over the best structure of this formula in the dataset, meV per atom: 0
Uncorrected energy, eV/atom: -4.907
Size of the total moment, μB/atom: 0.00
Density, g/cm3: 5.19

Record 5
Material: HfP2ICl
Method: DFT, PBE
State: relaxed

```
data_HfP2ICl
_cell_length_a 5.111
_cell_length_b 5.111
_cell_length_c 5.012
_cell_angle_alpha 90.00
_cell_angle_beta 90.00
_cell_angle_gamma 90.00
_symmetry_space_group_name_H-M 'P 1'
_symmetry_Int_Tables_number 1
_symmetry_space_group_name_Hall 'P 1'
loop_
_atom_site_label
_atom_site_type_symbol
_atom_site_fract_x
_atom_site_fract_y
_atom_site_fract_z
I1 I 0.000 0.000 0.000
P1 P 0.000 0.500 0.000
P2 P 0.500 0.000 0.000
Hf1 Hf 0.500 0.500 0.500
Cl1 Cl 0.000 0.000 0.500
```

Values from the calculation:
Raw formation energy, kJ per mole of atoms: 121.7
Excess energy over the best structure of this formula in the dataset, meV per atom: 1334
Uncorrected energy, eV/atom: -3.573
Size of the total moment, μB/atom: 0.08
Density, g/cm3: 5.11

Record 6
Material: Hf2PdICl
Method: DFT, PBE
State: relaxed

```
data_Hf2PdICl
_cell_length_a 5.309
_cell_length_b 4.931
_cell_length_c 5.309
_cell_angle_alpha 90.00
_cell_angle_beta 90.00
_cell_angle_gamma 90.00
_symmetry_space_group_name_H-M 'P 1'
_symmetry_Int_Tables_number 1
_symmetry_space_group_name_Hall 'P 1'
loop_
_atom_site_label
_atom_site_type_symbol
_atom_site_fract_x
_atom_site_fract_y
_atom_site_fract_z
I1 I 0.000 0.000 0.000
Hf1 Hf 0.000 0.000 0.500
Hf2 Hf 0.500 0.000 0.000
Pd1 Pd 0.000 0.500 0.000
Cl1 Cl 0.500 0.500 0.500
```

Values from the calculation:
Raw formation energy, kJ per mole of atoms: 104.4
Uncorrected energy, eV/atom: -4.617
Size of the total moment, μB/atom: 0.00
Density, g/cm3: 7.48

Record 7
Material: Rb2HfI4Cl2
Method: DFT, PBE
State: relaxed

```
data_Rb2HfI4Cl2
_cell_length_a 6.860
_cell_length_b 7.826
_cell_length_c 7.826
_cell_angle_alpha 63.79
_cell_angle_beta 80.60
_cell_angle_gamma 80.60
_symmetry_space_group_name_H-M 'P 1'
_symmetry_Int_Tables_number 1
_symmetry_space_group_name_Hall 'P 1'
loop_
_atom_site_label
_atom_site_type_symbol
_atom_site_fract_x
_atom_site_fract_y
_atom_site_fract_z
Rb1 Rb 0.222 0.667 0.667
Rb2 Rb 0.778 0.333 0.333
Hf1 Hf 0.500 0.000 0.000
I1 I 0.301 0.658 0.153
I2 I 0.699 0.847 0.342
I3 I 0.699 0.342 0.847
I4 I 0.301 0.153 0.658
Cl1 Cl 0.229 0.148 0.148
Cl2 Cl 0.771 0.852 0.852
```

Values from the calculation:
Raw formation energy, kJ per mole of atoms: -138.7
Uncorrected energy, eV/atom: -3.858
Size of the total moment, μB/atom: 0.00
Density, g/cm3: 4.17

Record 8
Material: Rb2HfI6Cl
Method: DFT, PBE
State: relaxed

```
data_Rb2HfI6Cl
_cell_length_a 9.098
_cell_length_b 9.098
_cell_length_c 8.638
_cell_angle_alpha 58.22
_cell_angle_beta 58.22
_cell_angle_gamma 90.00
_symmetry_space_group_name_H-M 'P 1'
_symmetry_Int_Tables_number 1
_symmetry_space_group_name_Hall 'P 1'
loop_
_atom_site_label
_atom_site_type_symbol
_atom_site_fract_x
_atom_site_fract_y
_atom_site_fract_z
I1 I 0.250 0.250 0.501
I2 I 0.750 0.750 0.499
I3 I 0.221 0.221 0.000
I4 I 0.779 0.779 0.000
I5 I 0.779 0.221 0.000
I6 I 0.221 0.779 0.000
Hf1 Hf 0.000 0.000 0.000
Rb1 Rb 0.750 0.250 0.500
Rb2 Rb 0.250 0.750 0.500
Cl1 Cl 0.500 0.500 0.000
```

Values from the calculation:
Raw formation energy, kJ per mole of atoms: -93.9
Uncorrected energy, eV/atom: -3.277
Size of the total moment, μB/atom: 0.00
Density, g/cm3: 3.99

Among the records above, which one has the highest raw formation energy? number 3

What did the second record say?
Material: HfINCl2
Method: DFT, PBE
State: relaxed

```
data_HfINCl2
_cell_length_a 5.973
_cell_length_b 3.880
_cell_length_c 5.973
_cell_angle_alpha 90.00
_cell_angle_beta 90.00
_cell_angle_gamma 90.00
_symmetry_space_group_name_H-M 'P 1'
_symmetry_Int_Tables_number 1
_symmetry_space_group_name_Hall 'P 1'
loop_
_atom_site_label
_atom_site_type_symbol
_atom_site_fract_x
_atom_site_fract_y
_atom_site_fract_z
I1 I 0.000 0.000 0.000
N1 N 0.000 0.500 0.000
Hf1 Hf 0.500 0.500 0.500
Cl1 Cl 0.000 0.000 0.500
Cl2 Cl 0.500 0.000 0.000
```

Values from the calculation:
Raw formation energy, kJ per mole of atoms: 119.0
Uncorrected energy, eV/atom: -3.471
Size of the total moment, μB/atom: 0.34
Density, g/cm3: 4.68

Please write out number 7 again, unchanged.
Material: Rb2HfI4Cl2
Method: DFT, PBE
State: relaxed

```
data_Rb2HfI4Cl2
_cell_length_a 6.860
_cell_length_b 7.826
_cell_length_c 7.826
_cell_angle_alpha 63.79
_cell_angle_beta 80.60
_cell_angle_gamma 80.60
_symmetry_space_group_name_H-M 'P 1'
_symmetry_Int_Tables_number 1
_symmetry_space_group_name_Hall 'P 1'
loop_
_atom_site_label
_atom_site_type_symbol
_atom_site_fract_x
_atom_site_fract_y
_atom_site_fract_z
Rb1 Rb 0.222 0.667 0.667
Rb2 Rb 0.778 0.333 0.333
Hf1 Hf 0.500 0.000 0.000
I1 I 0.301 0.658 0.153
I2 I 0.699 0.847 0.342
I3 I 0.699 0.342 0.847
I4 I 0.301 0.153 0.658
Cl1 Cl 0.229 0.148 0.148
Cl2 Cl 0.771 0.852 0.852
```

Values from the calculation:
Raw formation energy, kJ per mole of atoms: -138.7
Uncorrected energy, eV/atom: -3.858
Size of the total moment, μB/atom: 0.00
Density, g/cm3: 4.17

Which value of size of the total moment does entry 6 give? 0.00 μB/atom